[1]
# PrZnCd2 | Alexandria via LeMat-Bulk | PBE-GGA | optimized geometry
data_PrZnCd2
_space_group_name_H-M_alt 'P 1'
_space_group_IT_number 1
_cell_length_a 4.484
_cell_length_b 4.484
_cell_length_c 4.918
_cell_angle_alpha 90.00
_cell_angle_beta 90.00
_cell_angle_gamma 90.00
loop_
_space_group_symop_operation_xyz
'x,y,z'
loop_
_atom_site_label
_atom_site_type_symbol
_atom_site_fract_x
_atom_site_fract_y
_atom_site_fract_z
Pr1 Pr 0.000 0.000 0.000
Zn1 Zn 0.500 0.500 0.000
Cd1 Cd 0.000 0.500 0.500
Cd2 Cd 0.500 0.000 0.500
# * calculated total energy: -2.177 eV/atom
# * crystal system: tetragonal
# * ΔE_f: -206 meV per atom


[2]
# CaLaHf3 | Alexandria via LeMat-Bulk | PBE-GGA | optimized geometry
data_CaLaHf3
_space_group_name_H-M_alt 'P 1'
_space_group_IT_number 1
_cell_length_a 5.275
_cell_length_b 5.275
_cell_length_c 5.275
_cell_angle_alpha 90.00
_cell_angle_beta 90.00
_cell_angle_gamma 90.00
loop_
_space_group_symop_operation_xyz
'x,y,z'
loop_
_atom_site_label
_atom_site_type_symbol
_atom_site_fract_x
_atom_site_fract_y
_atom_site_fract_z
Ca1 Ca 0.000 0.000 0.000
La1 La 0.500 0.500 0.500
Hf1 Hf 0.000 0.500 0.500
Hf2 Hf 0.500 0.000 0.500
Hf3 Hf 0.500 0.500 0.000
# * calculated total energy: -6.144 eV/atom
# * energy above the most stable polymorph in this dataset: 0 meV per atom
# * crystal system: cubic
# * ΔE_f: 1214 meV per atom


[3]
# Tb5TlPb4 | Alexandria via LeMat-Bulk | PBE-GGA | optimized geometry
data_Tb5TlPb4
_space_group_name_H-M_alt 'P 1'
_space_group_IT_number 1
_cell_length_a 7.694
_cell_length_b 7.694
_cell_length_c 7.694
_cell_angle_alpha 99.85
_cell_angle_beta 99.85
_cell_angle_gamma 131.15
loop_
_space_group_symop_operation_xyz
'x,y,z'
loop_
_atom_site_label
_atom_site_type_symbol
_atom_site_fract_x
_atom_site_fract_y
_atom_site_fract_z
Tb1 Tb 0.000 0.000 0.000
Tb2 Tb 0.031 0.443 0.783
Tb3 Tb 0.248 0.031 0.588
Tb4 Tb 0.443 0.660 0.412
Tb5 Tb 0.660 0.248 0.217
Tl1 Tl 0.512 0.512 0.000
Pb1 Pb 0.133 0.738 0.182
Pb2 Pb 0.556 0.951 0.818
Pb3 Pb 0.738 0.556 0.605
Pb4 Pb 0.951 0.133 0.395
# * calculated total energy: -4.344 eV/atom
# * crystal system: tetragonal
# * ΔE_f: -309 meV per atom


[4]
# ZnCd2Au4 | Alexandria via LeMat-Bulk | PBE-GGA | optimized geometry
data_ZnCd2Au4
_space_group_name_H-M_alt 'P 1'
_space_group_IT_number 1
_cell_length_a 4.904
_cell_length_b 4.904
_cell_length_c 13.765
_cell_angle_alpha 90.00
_cell_angle_beta 90.00
_cell_angle_gamma 90.00
loop_
_space_group_symop_operation_xyz
'x,y,z'
loop_
_atom_site_label
_atom_site_type_symbol
_atom_site_fract_x
_atom_site_fract_y
_atom_site_fract_z
Zn1 Zn 0.000 0.000 0.000
Zn2 Zn 0.500 0.500 0.500
Cd1 Cd 0.000 0.000 0.378
Cd2 Cd 0.000 0.000 0.622
Cd3 Cd 0.500 0.500 0.122
Cd4 Cd 0.500 0.500 0.878
Au1 Au 0.000 0.000 0.184
Au2 Au 0.000 0.000 0.816
Au3 Au 0.000 0.500 0.000
Au4 Au 0.000 0.500 0.500
Au5 Au 0.500 0.000 0.000
Au6 Au 0.500 0.000 0.500
Au7 Au 0.500 0.500 0.316
Au8 Au 0.500 0.500 0.684
# * calculated total energy: -2.134 eV/atom
# * energy above the most stable polymorph in this dataset: 305 meV per atom
# * crystal system: tetragonal
# * ΔE_f: 182 meV per atom


[5]
# TaHIr2Pt | Alexandria via LeMat-Bulk | PBE-GGA | optimized geometry
data_TaHIr2Pt
_space_group_name_H-M_alt 'P 1'
_space_group_IT_number 1
_cell_length_a 4.031
_cell_length_b 4.031
_cell_length_c 3.966
_cell_angle_alpha 90.00
_cell_angle_beta 90.00
_cell_angle_gamma 90.00
loop_
_space_group_symop_operation_xyz
'x,y,z'
loop_
_atom_site_label
_atom_site_type_symbol
_atom_site_fract_x
_atom_site_fract_y
_atom_site_fract_z
Ta1 Ta 0.000 0.000 0.000
H1 H 0.500 0.500 0.500
Ir1 Ir 0.000 0.500 0.500
Ir2 Ir 0.500 0.000 0.500
Pt1 Pt 0.500 0.500 0.000
# * calculated total energy: -8.101 eV/atom
# * energy above the most stable polymorph in this dataset: 0 meV per atom
# * crystal system: tetragonal


[6]
# Li3Zn3In5 | Alexandria via LeMat-Bulk | PBE-GGA | optimized geometry
data_Li3Zn3In5
_space_group_name_H-M_alt 'P 1'
_space_group_IT_number 1
_cell_length_a 9.534
_cell_length_b 9.534
_cell_length_c 3.044
_cell_angle_alpha 90.00
_cell_angle_beta 90.00
_cell_angle_gamma 120.00
loop_
_space_group_symop_operation_xyz
'x,y,z'
loop_
_atom_site_label
_atom_site_type_symbol
_atom_site_fract_x
_atom_site_fract_y
_atom_site_fract_z
Li1 Li 0.000 0.397 0.000
Li2 Li 0.397 0.000 0.000
Li3 Li 0.603 0.603 0.000
Zn1 Zn 0.000 0.158 0.500
Zn2 Zn 0.158 0.000 0.500
Zn3 Zn 0.842 0.842 0.500
In1 In 0.000 0.663 0.500
In2 In 0.333 0.667 0.500
In3 In 0.337 0.337 0.500
In4 In 0.663 0.000 0.500
In5 In 0.667 0.333 0.500
# * calculated total energy: -2.137 eV/atom
# * crystal system: hexagonal
# * ΔE_f: -22 meV per atom


[7]
# Tm8SbSe6 | Alexandria via LeMat-Bulk | PBE-GGA | optimized geometry
data_Tm8SbSe6
_space_group_name_H-M_alt 'P 1'
_space_group_IT_number 1
_cell_length_a 10.380
_cell_length_b 10.380
_cell_length_c 3.978
_cell_angle_alpha 90.00
_cell_angle_beta 90.00
_cell_angle_gamma 120.00
loop_
_space_group_symop_operation_xyz
'x,y,z'
loop_
_atom_site_label
_atom_site_type_symbol
_atom_site_fract_x
_atom_site_fract_y
_atom_site_fract_z
Tm1 Tm 0.036 0.718 0.254
Tm2 Tm 0.282 0.318 0.254
Tm3 Tm 0.318 0.036 0.746
Tm4 Tm 0.333 0.667 0.749
Tm5 Tm 0.667 0.333 0.251
Tm6 Tm 0.682 0.964 0.254
Tm7 Tm 0.718 0.682 0.746
Tm8 Tm 0.964 0.282 0.746
Sb1 Sb 0.000 0.000 0.500
Se1 Se 0.130 0.482 0.250
Se2 Se 0.352 0.870 0.250
Se3 Se 0.482 0.352 0.750
Se4 Se 0.518 0.648 0.250
Se5 Se 0.648 0.130 0.750
Se6 Se 0.870 0.518 0.750
# * calculated total energy: -5.320 eV/atom
# * crystal system: trigonal


[8]
# HfTlAu | Alexandria via LeMat-Bulk | PBE-GGA | optimized geometry
data_HfTlAu
_space_group_name_H-M_alt 'P 1'
_space_group_IT_number 1
_cell_length_a 3.238
_cell_length_b 5.952
_cell_length_c 7.772
_cell_angle_alpha 105.36
_cell_angle_beta 102.00
_cell_angle_gamma 105.69
loop_
_space_group_symop_operation_xyz
'x,y,z'
loop_
_atom_site_label
_atom_site_type_symbol
_atom_site_fract_x
_atom_site_fract_y
_atom_site_fract_z
Hf1 Hf 0.106 0.256 0.454
Hf2 Hf 0.894 0.744 0.546
Tl1 Tl 0.457 0.297 0.113
Tl2 Tl 0.543 0.703 0.887
Au1 Au 0.284 0.815 0.252
Au2 Au 0.716 0.185 0.748
# * calculated total energy: -5.325 eV/atom
# * crystal system: triclinic
# * ΔE_f: -126 meV per atom


[9]
# Mg2RuAu | Alexandria via LeMat-Bulk | PBE-GGA | optimized geometry
data_Mg2RuAu
_space_group_name_H-M_alt 'P 1'
_space_group_IT_number 1
_cell_length_a 6.463
_cell_length_b 6.463
_cell_length_c 6.463
_cell_angle_alpha 90.00
_cell_angle_beta 90.00
_cell_angle_gamma 90.00
loop_
_space_group_symop_operation_xyz
'x,y,z'
loop_
_atom_site_label
_atom_site_type_symbol
_atom_site_fract_x
_atom_site_fract_y
_atom_site_fract_z
Mg1 Mg 0.000 0.000 0.000
Mg2 Mg 0.000 0.500 0.500
Mg3 Mg 0.250 0.250 0.250
Mg4 Mg 0.250 0.750 0.750
Mg5 Mg 0.500 0.000 0.500
Mg6 Mg 0.500 0.500 0.000
Mg7 Mg 0.750 0.250 0.750
Mg8 Mg 0.750 0.750 0.250
Ru1 Ru 0.000 0.000 0.500
Ru2 Ru 0.000 0.500 0.000
Ru3 Ru 0.500 0.000 0.000
Ru4 Ru 0.500 0.500 0.500
Au1 Au 0.250 0.250 0.750
Au2 Au 0.250 0.750 0.250
Au3 Au 0.750 0.250 0.250
Au4 Au 0.750 0.750 0.750
# * calculated total energy: -3.982 eV/atom
# * crystal system: cubic
# * ΔE_f: -46 meV per atom


[10]
# AcTbPmY | Alexandria via LeMat-Bulk | PBE-GGA | optimized geometry
data_AcTbPmY
_space_group_name_H-M_alt 'P 1'
_space_group_IT_number 1
_cell_length_a 8.316
_cell_length_b 8.316
_cell_length_c 8.316
_cell_angle_alpha 90.00
_cell_angle_beta 90.00
_cell_angle_gamma 90.00
loop_
_space_group_symop_operation_xyz
'x,y,z'
loop_
_atom_site_label
_atom_site_type_symbol
_atom_site_fract_x
_atom_site_fract_y
_atom_site_fract_z
Ac1 Ac 0.000 0.000 0.000
Ac2 Ac 0.000 0.500 0.500
Ac3 Ac 0.500 0.000 0.500
Ac4 Ac 0.500 0.500 0.000
Tb1 Tb 0.250 0.250 0.250
Tb2 Tb 0.250 0.750 0.750
Tb3 Tb 0.750 0.250 0.750
Tb4 Tb 0.750 0.750 0.250
Pm1 Pm 0.000 0.000 0.500
Pm2 Pm 0.000 0.500 0.000
Pm3 Pm 0.500 0.000 0.000
Pm4 Pm 0.500 0.500 0.500
Y1 Y 0.250 0.250 0.750
Y2 Y 0.250 0.750 0.250
Y3 Y 0.750 0.250 0.250
Y4 Y 0.750 0.750 0.750
# * calculated total energy: -4.874 eV/atom
# * energy above the most stable polymorph in this dataset: 66 meV per atom
# * crystal system: cubic
# * ΔE_f: 114 meV per atom


Number 1: magnetic moment 0.000 Bohr magnetons per cell. Number 2: magnetic moment 0.000 Bohr magnetons per cell. Number 3: magnetic moment 0.000 Bohr magnetons per cell. Number 4: magnetic moment 0.000 Bohr magnetons per cell. Number 5: magnetic moment 0.000 Bohr magnetons per cell. Number 6: magnetic moment 0.000 Bohr magnetons per cell. Number 7: magnetic moment 0.000 Bohr magnetons per cell. Number 8: magnetic moment 0.000 Bohr magnetons per cell. Number 9: magnetic moment 0.001 Bohr magnetons per cell. Number 10: magnetic moment 0.005 Bohr magnetons per cell.